(1)
# AsRuSe2O (PBE, relaxed)
data_AsRuSe2O
_chemical_formula_sum 'As1 Ru1 Se2 O1'
_cell_length_a 4.3926
_cell_length_b 4.3926
_cell_length_c 4.2314
_cell_angle_alpha 90.00
_cell_angle_beta 90.00
_cell_angle_gamma 90.00
_space_group_name_H-M_alt 'P 4/m m m'
_space_group_IT_number 123
_space_group_name_Hall '-P 4 2'
loop_
_atom_site_label
_atom_site_type_symbol
_atom_site_fract_x
_atom_site_fract_y
_atom_site_fract_z
As1 As 0.0000 0.0000 0.0000
Ru1 Ru 0.5000 0.5000 0.0000
Se1 Se 0.0000 0.5000 0.5000
O1 O 0.0000 0.0000 0.5000
# E_tot = -4.53 eV per atom



(2)
# SiBRu2O (PBE, relaxed)
data_SiBRu2O
_chemical_formula_sum 'Si1 B1 Ru2 O1'
_cell_length_a 4.5378
_cell_length_b 4.5378
_cell_length_c 3.2487
_cell_angle_alpha 90.00
_cell_angle_beta 90.00
_cell_angle_gamma 90.00
_space_group_name_H-M_alt 'P 4/m m m'
_space_group_IT_number 123
_space_group_name_Hall '-P 4 2'
loop_
_atom_site_label
_atom_site_type_symbol
_atom_site_fract_x
_atom_site_fract_y
_atom_site_fract_z
Si1 Si 0.0000 0.0000 0.0000
B1 B 0.5000 0.5000 0.5000
Ru1 Ru 0.0000 0.5000 0.0000
O1 O 0.0000 0.0000 0.5000
# E_tot = -6.23 eV per atom



(3)
# ErGeIr (PBE, relaxed)
data_ErGeIr
_chemical_formula_sum 'Er1 Ge1 Ir1'
_cell_length_a 4.4155
_cell_length_b 4.4155
_cell_length_c 3.3447
_cell_angle_alpha 90.00
_cell_angle_beta 90.00
_cell_angle_gamma 120.00
_space_group_name_H-M_alt 'P -6 m 2'
_space_group_IT_number 187
_space_group_name_Hall 'P -6 2'
loop_
_atom_site_label
_atom_site_type_symbol
_atom_site_fract_x
_atom_site_fract_y
_atom_site_fract_z
Er1 Er 0.0000 0.0000 0.0000
Ge1 Ge 0.3333 0.6667 0.5000
Ir1 Ir 0.6667 0.3333 0.5000
# energy of formation = -0.82 eV/atom



(4)
# Ga2PdPt (PBE, relaxed)
data_Ga2PdPt
_chemical_formula_sum 'Ga2 Pd1 Pt1'
_cell_length_a 4.3675
_cell_length_b 4.3675
_cell_length_c 3.1870
_cell_angle_alpha 90.00
_cell_angle_beta 90.00
_cell_angle_gamma 90.00
_space_group_name_H-M_alt 'P 4/m m m'
_space_group_IT_number 123
_space_group_name_Hall '-P 4 2'
loop_
_atom_site_label
_atom_site_type_symbol
_atom_site_fract_x
_atom_site_fract_y
_atom_site_fract_z
Ga1 Ga 0.0000 0.5000 0.0000
Pd1 Pd 0.0000 0.0000 0.5000
Pt1 Pt 0.5000 0.5000 0.5000
# energy of formation = -0.55 eV/atom



(5)
# KPrMnN3 (PBE, relaxed)
data_KPrMnN3
_chemical_formula_sum 'K4 Pr4 Mn4 N12'
_cell_length_a 13.6522
_cell_length_b 3.7456
_cell_length_c 7.8674
_cell_angle_alpha 90.00
_cell_angle_beta 105.50
_cell_angle_gamma 90.00
_space_group_name_H-M_alt 'C 1 2/m 1'
_space_group_IT_number 12
loop_
_space_group_symop_operation_xyz
'x,y,z'
'-x,-y,-z'
'-x,y,-z'
'x,-y,z'
'x+1/2,y+1/2,z'
'-x+1/2,-y+1/2,-z'
'-x+1/2,y+1/2,-z'
'x+1/2,-y+1/2,z'
loop_
_atom_site_label
_atom_site_type_symbol
_atom_site_fract_x
_atom_site_fract_y
_atom_site_fract_z
K1 K 0.1311 0.0000 0.0732
Pr1 Pr 0.1613 0.0000 0.5888
Mn1 Mn 0.0047 0.5000 0.3343
N1 N 0.0125 0.0000 0.3355
N2 N 0.1203 0.5000 0.7923
N3 N 0.1517 0.5000 0.3685
# E_tot = -6.97 eV per atom



(6)
# NbV2Br8 (PBE, relaxed)
data_NbV2Br8
_chemical_formula_sum 'Nb2 V4 Br16'
_cell_length_a 12.3563
_cell_length_b 10.3718
_cell_length_c 6.2106
_cell_angle_alpha 90.00
_cell_angle_beta 92.53
_cell_angle_gamma 90.00
_space_group_name_H-M_alt 'C 1 2/m 1'
_space_group_IT_number 12
loop_
_space_group_symop_operation_xyz
'x,y,z'
'-x,-y,-z'
'-x,y,-z'
'x,-y,z'
'x+1/2,y+1/2,z'
'-x+1/2,-y+1/2,-z'
'-x+1/2,y+1/2,-z'
'x+1/2,-y+1/2,z'
loop_
_atom_site_label
_atom_site_type_symbol
_atom_site_fract_x
_atom_site_fract_y
_atom_site_fract_z
Nb1 Nb 0.0000 0.0000 0.0000
V1 V 0.1722 0.0000 0.6635
Br1 Br 0.0869 0.1947 0.7832
Br2 Br 0.1397 0.5000 0.2643
Br3 Br 0.1744 0.0000 0.2651
# E_tot = -4.50 eV per atom



(7)
# ZnSbTe2 (PBE, relaxed)
data_ZnSbTe2
_chemical_formula_sum 'Zn2 Sb2 Te4'
_cell_length_a 3.9862
_cell_length_b 5.8641
_cell_length_c 9.5765
_cell_angle_alpha 90.00
_cell_angle_beta 90.00
_cell_angle_gamma 90.00
_space_group_name_H-M_alt 'C m m 2'
_space_group_IT_number 35
loop_
_space_group_symop_operation_xyz
'x,y,z'
'-x,-y,z'
'-x,y,z'
'x,-y,z'
'x+1/2,y+1/2,z'
'-x+1/2,-y+1/2,z'
'-x+1/2,y+1/2,z'
'x+1/2,-y+1/2,z'
loop_
_atom_site_label
_atom_site_type_symbol
_atom_site_fract_x
_atom_site_fract_y
_atom_site_fract_z
Zn1 Zn 0.0000 0.0000 0.0000
Sb1 Sb 0.0000 0.5000 0.7890
Te1 Te 0.0000 0.0000 0.5460
Te2 Te 0.0000 0.5000 0.1873
# E_tot = -2.76 eV per atom



(8)
# Mn2SbMoN (PBE, relaxed)
data_Mn2SbMoN
_chemical_formula_sum 'Mn2 Sb1 Mo1 N1'
_cell_length_a 4.0005
_cell_length_b 4.0005
_cell_length_c 4.1835
_cell_angle_alpha 90.00
_cell_angle_beta 90.00
_cell_angle_gamma 90.00
_space_group_name_H-M_alt 'P 4/m m m'
_space_group_IT_number 123
_space_group_name_Hall '-P 4 2'
loop_
_atom_site_label
_atom_site_type_symbol
_atom_site_fract_x
_atom_site_fract_y
_atom_site_fract_z
Mn1 Mn 0.0000 0.5000 0.0000
Sb1 Sb 0.0000 0.0000 0.5000
Mo1 Mo 0.5000 0.5000 0.5000
N1 N 0.5000 0.5000 0.0000
# E_tot = -8.40 eV per atom